Record 1
# Sc2Al2Si (PBE-GGA, optimized geometry)
data_Sc2Al2Si
_chemical_formula_sum 'Sc4 Al4 Si2'
_space_group_name_H-M_alt 'P 4/m b m'
_space_group_IT_number 127
_space_group_name_Hall '-P 4 2ab'
_cell_length_a 6.610
_cell_length_b 6.610
_cell_length_c 4.293
_cell_angle_alpha 90.00
_cell_angle_beta 90.00
_cell_angle_gamma 90.00
loop_
_atom_site_label
_atom_site_type_symbol
_atom_site_fract_x
_atom_site_fract_y
_atom_site_fract_z
_atom_site_occupancy
Sc1 Sc 0.168 0.332 0.000 1
Al1 Al 0.135 0.635 0.500 1
Si1 Si 0.000 0.000 0.500 1
# Energy relative to the elements, uncorrected: -0.40 eV/atom
# Density of states at the Fermi level: 2.3 states/eV/f.u.


Record 2
# Sc2AlSi (PBE-GGA, optimized geometry)
data_Sc2AlSi
_chemical_formula_sum 'Sc8 Al4 Si4'
_space_group_name_H-M_alt 'I -4 2 d'
_space_group_IT_number 122
_space_group_name_Hall 'I -4 2bw'
_cell_length_a 7.439
_cell_length_b 7.439
_cell_length_c 5.925
_cell_angle_alpha 90.00
_cell_angle_beta 90.00
_cell_angle_gamma 90.00
loop_
_atom_site_label
_atom_site_type_symbol
_atom_site_fract_x
_atom_site_fract_y
_atom_site_fract_z
_atom_site_occupancy
Sc1 Sc 0.231 0.250 0.125 1
Al1 Al 0.000 0.000 0.500 1
Si1 Si 0.000 0.000 0.000 1
# Energy relative to the elements, uncorrected: -0.13 eV/atom
# Density of states at the Fermi level: 1.9 states/eV/f.u.


no.,calculated total energy (eV per atom)
1,-5.519
2,-5.590